# 1
This record from Alexandria describes an optimized crystal structure of Li2CaF. The functional is GGA-PBE.

```
Li2CaF
1.0
6.407 0.000 0.000
0.000 6.407 0.000
0.000 0.000 9.085
Li Ca F
8 4 4
Cartesian
0.005 4.805 1.136 Li
1.602 0.005 7.949 Li
1.602 3.199 3.407 Li
3.199 4.805 5.678 Li
3.209 1.602 5.678 Li
4.805 3.209 3.407 Li
4.805 6.402 7.949 Li
6.402 1.602 1.136 Li
0.000 0.000 4.542 Ca
0.000 3.204 6.813 Ca
3.204 0.000 2.271 Ca
3.204 3.204 0.000 Ca
0.000 0.000 0.000 F
0.000 3.204 2.271 F
3.204 0.000 6.813 F
3.204 3.204 4.542 F
```

Properties
**Energy relative to the lowest polymorph listed for this composition**: 0.0 meV per atom
**Uncorrected formation energy**: -117.4 kJ per mole of atoms
**Total energy**: -50.27 eV for the cell shown
**Density**: 1.30 Mg/m³


# 2
This record from Alexandria describes an optimized crystal structure of Sr4CaNi. The functional is GGA-PBE.

```
Sr4CaNi
1.0
0.000 5.213 5.213
5.213 0.000 5.213
5.213 5.213 0.000
Sr Ca Ni
4 1 1
Cartesian
1.305 1.305 1.305 Sr
3.907 3.907 1.305 Sr
3.907 1.305 3.907 Sr
1.305 3.907 3.907 Sr
7.819 7.819 7.819 Ca
5.213 5.213 5.213 Ni
```

Properties
**DFT formation energy**: 700 meV per atom
**Total energy**: -10.31 eV for the cell shown
**Density**: 2.63 Mg/m³


# 3
This record from Alexandria describes an optimized crystal structure of TiCr2Tc3. The functional is GGA-PBE.

```
TiCr2Tc3
1.0
3.016 0.000 0.000
0.000 3.016 0.000
0.000 0.000 9.079
Ti Cr Tc
1 2 3
Cartesian
0.000 0.000 0.000 Ti
0.000 0.000 3.044 Cr
0.000 0.000 6.035 Cr
1.508 1.508 1.600 Tc
1.508 1.508 4.539 Tc
1.508 1.508 7.479 Tc
```

Properties
**DFT formation energy**: -146 meV per atom
**Total energy**: -59.11 eV for the cell shown
**Density**: 8.96 Mg/m³


# 4
This record from Alexandria describes an optimized crystal structure of AcPrTe. The functional is GGA-PBE.

```
AcPrTe
1.0
5.469 0.000 0.000
-2.735 4.736 0.000
0.000 0.000 4.260
Ac Pr Te
1 1 1
Cartesian
0.000 0.000 0.000 Ac
0.000 3.158 2.129 Pr
2.735 1.579 2.116 Te
```

Properties
**Energy relative to the lowest polymorph listed for this composition**: 201.8 meV per atom
**Uncorrected formation energy**: -56.2 kJ per mole of atoms
**Total energy**: -13.78 eV for the cell shown
**Density**: 7.46 Mg/m³